AcLa2Tb4Dy: optimized geometry, GGA-PBE.

a b c (Å): 5.2457 5.2032 11.4236
angles (deg): 62.88 90.00 90.00
With the nearest neighbours (Å) after each atom.
Element x y z (fractional)
Ac 0.5000 0.5000 0.0000  8 Tb 3.68-3.70, 4 La 3.69
La 0.0000 0.0000 0.0000  8 Tb 3.69-3.70, 4 Ac 3.69
La 0.5000 0.0000 0.5000  8 Tb 3.59-3.60, 4 Dy 3.69
Tb 0.0000 0.7568 0.7429  2 Dy 3.59, 4 La 3.60-3.69, 4 Tb 3.69, 2 Ac 3.70
Tb 0.0000 0.2432 0.2570  2 Dy 3.59, 4 La 3.60-3.69, 4 Tb 3.69, 2 Ac 3.70
Tb 0.5000 0.7434 0.2569  4 La 3.59-3.70, 2 Dy 3.60, 2 Ac 3.68-3.69, 4 Tb 3.69
Tb 0.5000 0.2566 0.7431  4 La 3.59-3.70, 2 Dy 3.60, 2 Ac 3.68-3.69, 4 Tb 3.69
Dy 0.0000 0.5000 0.5000  8 Tb 3.59-3.60, 4 La 3.69

Calculated values
Space group ... Pmmm (47)
ΔH_f (0 K) ... 29 kJ/mol of formula units

Ac2La5TbDy: optimized geometry, GGA-PBE.

a b c (Å): 5.6785 11.6975 10.6230
angles (deg): 90.00 90.00 104.05
With the nearest neighbours (Å) after each atom.
Element x y z (fractional)
Ac 0.8843 0.7686 0.7719  1 Tb 3.58, 9 La 3.71-3.87, 2 Dy 4.00
Ac 0.1156 0.2313 0.7446  1 Tb 3.58, 9 La 3.71-3.87, 2 Dy 4.00
Ac 0.1157 0.2314 0.2719  1 Tb 3.58, 9 La 3.71-3.87, 2 Dy 4.00
Ac 0.8844 0.7687 0.2446  1 Tb 3.58, 9 La 3.71-3.87, 2 Dy 4.00
La 0.3764 0.7528 0.0082  1 Tb 3.69, 4 Ac 3.79, 6 La 3.86-4.07
La 0.7225 0.4451 0.8191  2 La 3.36, 1 Dy 3.37, 3 Tb 3.48-3.61, 1 Ac 3.71
La 0.5000 0.0000 0.7583  2 Dy 3.54, 6 La 3.86-3.89, 4 Ac 3.87
La 0.2774 0.5549 0.6973  2 La 3.36, 1 Dy 3.37, 3 Tb 3.48-3.61, 1 Ac 3.71
La 0.9954 0.9908 0.5082  2 Dy 3.61, 4 Ac 3.71-3.77, 4 La 3.89
La 0.6236 0.2472 0.5082  1 Tb 3.69, 4 Ac 3.79, 6 La 3.86-4.07
La 0.2775 0.5549 0.3191  2 La 3.36, 1 Dy 3.37, 3 Tb 3.48-3.61, 1 Ac 3.71
La 0.5000 0.0000 0.2583  2 Dy 3.54, 6 La 3.86-3.89, 4 Ac 3.87
La 0.7226 0.4451 0.1973  2 La 3.36, 1 Dy 3.37, 3 Tb 3.48-3.61, 1 Ac 3.71
La 0.0046 0.0092 0.0082  2 Dy 3.61, 4 Ac 3.71-3.77, 4 La 3.89
Tb 0.7862 0.5725 0.5082  7 La 3.48-3.69, 2 Ac 3.58, 2 Dy 3.79
Tb 0.2138 0.4275 0.0082  7 La 3.48-3.69, 2 Ac 3.58, 2 Dy 3.79
Dy 0.6032 0.2063 0.0082  6 La 3.37-3.61
Dy 0.3968 0.7937 0.5082  6 La 3.37-3.61

Calculated values
Space group ... Cmcm (63)
ΔH_f (0 K) ... 88 kJ/mol of formula units

Ac3La4DyTe8: optimized geometry, GGA-PBE.

a b c (Å): 9.2390 9.2262 9.2381
angles (deg): 120.04 120.00 90.00
With the nearest neighbours (Å) after each atom.
Element x y z (fractional)
Ac 0.5000 0.5000 0.0000  6 Te 3.31
Ac 0.5000 0.5000 0.5000  6 Te 3.31
Ac 0.0000 0.5000 0.5000  6 Te 3.31
La 0.5000 0.0000 0.0000  6 Te 3.35
La 0.5000 0.0000 0.5000  6 Te 3.22
La 0.0000 0.0000 0.0000  6 Te 3.22
La 0.0000 0.0000 0.5000  6 Te 3.22
Dy 0.0000 0.5000 0.0000  6 Te 3.18
Te 0.2434 0.7498 0.0064  1 Dy 3.18, 3 La 3.22-3.35, 2 Ac 3.31
Te 0.2434 0.7498 0.4868  1 Dy 3.18, 3 La 3.22-3.35, 2 Ac 3.31
Te 0.2467 0.2401 0.4934  3 La 3.22, 3 Ac 3.31
Te 0.7630 0.7498 0.0064  1 Dy 3.18, 3 La 3.22-3.35, 2 Ac 3.31
Te 0.2370 0.2502 0.9936  1 Dy 3.18, 3 La 3.22-3.35, 2 Ac 3.31
Te 0.7533 0.7599 0.5066  3 La 3.22, 3 Ac 3.31
Te 0.7566 0.2502 0.5132  1 Dy 3.18, 3 La 3.22-3.35, 2 Ac 3.31
Te 0.7566 0.2502 0.9936  1 Dy 3.18, 3 La 3.22-3.35, 2 Ac 3.31

Calculated values
Uncorrected energy ... -5.362 eV/atom
Space group ... R-3m (166)